[1]
VASP calculation (GGA-PBE) on BeNi3Br after structural relaxation.

Output
For the formation energy without anion corrections, the calculation gives 1138.7 meV per atom.

```
data_BeNi3Br
_chemical_formula_sum 'Be1 Ni3 Br1'
_space_group_name_H-M_alt 'P 1'
_space_group_IT_number 1
_cell_length_a 4.3260
_cell_length_b 4.3260
_cell_length_c 4.3260
_cell_angle_alpha 90.00
_cell_angle_beta 90.00
_cell_angle_gamma 90.00
loop_
_space_group_symop_operation_xyz
'x,y,z'
loop_
_atom_site_label
_atom_site_fract_x
_atom_site_fract_y
_atom_site_fract_z
_atom_site_occupancy
Be1 0.0000 0.0000 0.0000 1
Ni1 0.0000 0.5000 0.5000 1
Ni2 0.5000 0.0000 0.5000 1
Ni3 0.5000 0.5000 0.0000 1
Br1 0.5000 0.5000 0.5000 1
```


[2]
VASP calculation (GGA-PBE) on CsTlAuF6 after structural relaxation.

Output
For the formation energy without anion corrections, the calculation gives -1697.1 meV per atom.

```
data_CsTlAuF6
_chemical_formula_sum 'Cs1 Tl1 Au1 F6'
_space_group_name_H-M_alt 'P 1'
_space_group_IT_number 1
_cell_length_a 5.6441
_cell_length_b 6.1776
_cell_length_c 6.1969
_cell_angle_alpha 119.20
_cell_angle_beta 90.55
_cell_angle_gamma 90.37
loop_
_space_group_symop_operation_xyz
'x,y,z'
loop_
_atom_site_label
_atom_site_fract_x
_atom_site_fract_y
_atom_site_fract_z
_atom_site_occupancy
Cs1 0.0000 0.0000 0.0000 1
Tl1 0.5001 0.6722 0.3276 1
Au1 0.5003 0.2881 0.7130 1
F1 0.2551 0.5292 0.9908 1
F2 0.2597 0.0062 0.4574 1
F3 0.4884 0.7643 0.7062 1
F4 0.5115 0.2916 0.2330 1
F5 0.7408 0.5431 0.9953 1
F6 0.7453 0.0094 0.4724 1
```


[3]
VASP calculation (GGA-PBE) on TaCr3C after structural relaxation.

Output
The formation energy is 1.8 kJ per mole of atoms.

```
data_TaCr3C
_chemical_formula_sum 'Ta1 Cr3 C1'
_space_group_name_H-M_alt 'P 1'
_space_group_IT_number 1
_cell_length_a 3.9079
_cell_length_b 3.9079
_cell_length_c 3.9079
_cell_angle_alpha 90.00
_cell_angle_beta 90.00
_cell_angle_gamma 90.00
loop_
_space_group_symop_operation_xyz
'x,y,z'
loop_
_atom_site_label
_atom_site_fract_x
_atom_site_fract_y
_atom_site_fract_z
_atom_site_occupancy
Ta1 0.0000 0.0000 0.0000 1
Cr1 0.0000 0.5000 0.5000 1
Cr2 0.5000 0.0000 0.5000 1
Cr3 0.5000 0.5000 0.0000 1
C1 0.5000 0.5000 0.5000 1
```